# 1
# SbMoRu2Rh (PBE, optimized geometry)
data_SbMoRu2Rh
_chemical_formula_sum 'Sb1 Mo1 Ru2 Rh1'
_space_group_name_H-M_alt 'P 4/m m m'
_space_group_IT_number 123
_space_group_name_Hall '-P 4 2'
_cell_length_a 4.762
_cell_length_b 4.762
_cell_length_c 4.734
_cell_angle_alpha 90.00
_cell_angle_beta 90.00
_cell_angle_gamma 90.00
loop_
_atom_site_label
_atom_site_type_symbol
_atom_site_fract_x
_atom_site_fract_y
_atom_site_fract_z
Sb1 Sb 0.000 0.000 0.000
Mo1 Mo 0.500 0.500 0.500
Ru1 Ru 0.000 0.500 0.000
Rh1 Rh 0.000 0.000 0.500
# Total DFT energy (no corrections) in eV for the cell shown: -32.39
# Formation energy (no corrections) in eV/atom: 1.693



# 2
# NaRu3O (PBE, optimized geometry)
data_NaRu3O
_chemical_formula_sum 'Na1 Ru3 O1'
_space_group_name_H-M_alt 'P m -3 m'
_space_group_IT_number 221
_space_group_name_Hall '-P 4 2 3'
_cell_length_a 4.655
_cell_length_b 4.655
_cell_length_c 4.655
_cell_angle_alpha 90.00
_cell_angle_beta 90.00
_cell_angle_gamma 90.00
loop_
_atom_site_label
_atom_site_type_symbol
_atom_site_fract_x
_atom_site_fract_y
_atom_site_fract_z
Na1 Na 0.000 0.000 0.000
Ru1 Ru 0.000 0.000 0.500
O1 O 0.500 0.500 0.500
# ΔE to the lowest computed polymorph in kJ/mol of formula units: 1148
# Total DFT energy (no corrections) in eV for the cell shown: -19.65
# Formation energy (no corrections) in eV/atom: 2.890



# 3
# CdFe2Si (PBE, optimized geometry)
data_CdFe2Si
_chemical_formula_sum 'Cd2 Fe4 Si2'
_space_group_name_H-M_alt 'I -4 m 2'
_space_group_IT_number 119
_space_group_name_Hall 'I -4 -2'
_cell_length_a 3.758
_cell_length_b 3.758
_cell_length_c 7.864
_cell_angle_alpha 90.00
_cell_angle_beta 90.00
_cell_angle_gamma 90.00
loop_
_atom_site_label
_atom_site_type_symbol
_atom_site_fract_x
_atom_site_fract_y
_atom_site_fract_z
Cd1 Cd 0.000 0.000 0.000
Fe1 Fe 0.000 0.000 0.500
Fe2 Fe 0.000 0.500 0.750
Si1 Si 0.000 0.500 0.250
# ΔE to the lowest computed polymorph in kJ/mol of formula units: 106
# Total DFT energy (no corrections) in eV for the cell shown: -44.42
# Formation energy (no corrections) in eV/atom: 0.264



# 4
# HfPN (PBE, optimized geometry)
data_HfPN
_chemical_formula_sum 'Hf4 P4 N4'
_space_group_name_H-M_alt 'C 1 2/m 1'
_space_group_IT_number 12
_cell_length_a 6.211
_cell_length_b 3.540
_cell_length_c 9.034
_cell_angle_alpha 90.00
_cell_angle_beta 90.19
_cell_angle_gamma 90.00
loop_
_space_group_symop_operation_xyz
'x,y,z'
'-x,-y,-z'
'-x,y,-z'
'x,-y,z'
'x+1/2,y+1/2,z'
'-x+1/2,-y+1/2,-z'
'-x+1/2,y+1/2,-z'
'x+1/2,-y+1/2,z'
loop_
_atom_site_label
_atom_site_type_symbol
_atom_site_fract_x
_atom_site_fract_y
_atom_site_fract_z
Hf1 Hf 0.166 0.000 0.357
P1 P 0.165 0.000 0.059
N1 N 0.166 0.000 0.607
# Total DFT energy (no corrections) in eV for the cell shown: -106.56
# Formation energy (no corrections) in eV/atom: -0.983